12
Lattice="2.922 0.000 0.000 -1.461 2.530 0.000 0.000 0.000 26.356" Properties=species:S:1:pos:R:3 comment="MgZrIr2 SCAN PBEsol geometry" total_magnetization_mub_per_atom=0.000 sg="R-3m, No. 166" total_energy_ev_per_atom=-44.83 pbc="T T T"
Mg 0.000 0.000 0.000
Mg 0.000 1.687 17.571
Mg 1.461 0.843 8.785
Zr 0.000 0.000 13.178
Zr 0.000 1.687 4.393
Zr 1.461 0.843 21.963
Ir 0.000 0.000 6.609
Ir 0.000 0.000 19.746
Ir 0.000 1.687 10.961
Ir 0.000 1.687 24.180
Ir 1.461 0.843 2.176
Ir 1.461 0.843 15.395

12
Lattice="4.174 0.000 0.000 -2.087 3.615 0.000 0.000 0.000 15.635" Properties=species:S:1:pos:R:3 comment="YCu2Te SCAN PBEsol geometry" total_magnetization_mub_per_atom=0.000 sg="R-3m, No. 166" raw_formation_energy_ev_per_atom=-0.31 total_energy_ev_per_atom=-24.18 pbc="T T T"
Y 0.000 0.000 0.000
Y 0.000 2.410 10.424
Y 2.087 1.205 5.212
Cu 0.000 0.000 3.609
Cu 0.000 0.000 12.026
Cu 0.000 2.410 6.814
Cu 0.000 2.410 14.033
Cu 2.087 1.205 1.603
Cu 2.087 1.205 8.821
Te 0.000 0.000 7.818
Te 0.000 2.410 2.606
Te 2.087 1.205 13.029

5
Lattice="4.782 0.000 0.000 0.000 4.782 0.000 0.000 0.000 4.782" Properties=species:S:1:pos:R:3 comment="ZrBr3F SCAN PBEsol geometry" total_magnetization_mub_per_atom=0.000 sg="Pm-3m, No. 221" raw_formation_energy_ev_per_atom=0.03 total_energy_ev_per_atom=-18.49 pbc="T T T"
Zr 0.000 0.000 0.000
Br 0.000 2.391 2.391
Br 2.391 0.000 2.391
Br 2.391 2.391 0.000
F 2.391 2.391 2.391

10
Lattice="3.595 0.000 0.000 0.000 3.595 0.000 0.000 0.000 12.475" Properties=species:S:1:pos:R:3 comment="Rh2W2F SCAN PBEsol geometry" total_magnetization_mub_per_atom=0.000 sg="I4/mmm, No. 139" raw_formation_energy_ev_per_atom=0.58 total_energy_ev_per_atom=-41.51 pbc="T T T"
Rh 0.000 1.798 3.119
Rh 0.000 1.798 9.356
Rh 1.798 0.000 3.119
Rh 1.798 0.000 9.356
W 0.000 0.000 1.329
W 0.000 0.000 11.146
W 1.798 1.798 4.909
W 1.798 1.798 7.566
F 0.000 0.000 6.237
F 1.798 1.798 0.000

10
Lattice="3.998 0.000 0.000 0.000 3.998 0.000 0.000 0.000 13.779" Properties=species:S:1:pos:R:3 comment="Ba2H2Pt SCAN PBEsol geometry" total_magnetization_mub_per_atom=0.000 sg="I4/mmm, No. 139" total_energy_ev_per_atom=-31.86 pbc="T T T"
Ba 0.000 0.000 1.814
Ba 0.000 0.000 11.966
Ba 1.999 1.999 5.076
Ba 1.999 1.999 8.704
H 0.000 1.999 3.445
H 0.000 1.999 10.335
H 1.999 0.000 3.445
H 1.999 0.000 10.335
Pt 0.000 0.000 6.890
Pt 1.999 1.999 0.000

5
Lattice="3.883 0.000 0.000 0.000 3.883 0.000 0.000 0.000 3.883" Properties=species:S:1:pos:R:3 comment="TcPdC3 SCAN PBEsol geometry" total_magnetization_mub_per_atom=0.240 sg="Pm-3m, No. 221" total_energy_ev_per_atom=-16.77 pbc="T T T"
Tc 0.000 0.000 0.000
Pd 1.941 1.941 1.941
C 0.000 1.941 1.941
C 1.941 0.000 1.941
C 1.941 1.941 0.000

4
Lattice="4.190 0.000 0.000 0.000 4.190 0.000 0.000 0.000 3.479" Properties=species:S:1:pos:R:3 comment="ZrTcCl2 SCAN PBEsol geometry" total_magnetization_mub_per_atom=0.000 sg="P4/mmm, No. 123" raw_formation_energy_ev_per_atom=0.14 total_energy_ev_per_atom=-20.29 pbc="T T T"
Zr 0.000 0.000 0.000
Tc 2.095 2.095 0.000
Cl 0.000 2.095 1.740
Cl 2.095 0.000 1.740

4
Lattice="3.389 0.000 0.000 0.000 3.389 0.000 0.000 0.000 8.049" Properties=species:S:1:pos:R:3 comment="Y2TcBr SCAN PBEsol geometry" total_magnetization_mub_per_atom=0.594 sg="P4mm, No. 99" raw_formation_energy_ev_per_atom=0.15 total_energy_ev_per_atom=-27.40 pbc="T T T"
Y 0.000 0.000 0.000
Y 1.695 1.695 2.968
Tc 1.695 1.695 6.466
Br 0.000 0.000 4.686

5
Lattice="5.830 0.000 0.000 0.000 5.830 0.000 0.000 0.000 5.830" Properties=species:S:1:pos:R:3 comment="SrCuSb3 SCAN PBEsol geometry" total_magnetization_mub_per_atom=0.000 sg="Pm-3m, No. 221" raw_formation_energy_ev_per_atom=1.33 total_energy_ev_per_atom=-28.53 pbc="T T T"
Sr 0.000 0.000 0.000
Cu 2.915 2.915 2.915
Sb 0.000 0.000 2.915
Sb 0.000 2.915 0.000
Sb 2.915 0.000 0.000

5
Lattice="4.620 0.000 0.000 0.000 4.620 0.000 0.000 0.000 5.114" Properties=species:S:1:pos:R:3 comment="Al2ZnRuAu SCAN PBEsol geometry" total_magnetization_mub_per_atom=0.534 sg="P4/mmm, No. 123" total_energy_ev_per_atom=-25.84 pbc="T T T"
Al 0.000 2.310 0.000
Al 2.310 0.000 0.000
Zn 0.000 0.000 2.557
Ru 2.310 2.310 2.557
Au 2.310 2.310 0.000

12
Lattice="4.129 0.000 0.000 -2.065 3.576 0.000 0.000 0.000 21.072" Properties=species:S:1:pos:R:3 comment="InTe2P SCAN PBEsol geometry" total_magnetization_mub_per_atom=0.000 sg="R3m, No. 160" raw_formation_energy_ev_per_atom=0.07 total_energy_ev_per_atom=-29.51 pbc="T T T"
In 0.000 0.000 0.000
In 0.000 2.384 14.048
In 2.065 1.192 7.024
Te 0.000 0.000 11.037
Te 0.000 0.000 15.766
Te 0.000 2.384 4.013
Te 0.000 2.384 8.742
Te 2.065 1.192 1.718
Te 2.065 1.192 18.061
P 0.000 0.000 5.351
P 0.000 2.384 19.399
P 2.065 1.192 12.375

8
Lattice="3.715 0.000 0.000 0.000 5.635 0.000 0.000 0.000 12.012" Properties=species:S:1:pos:R:3 comment="SrY2Cd SCAN PBEsol geometry" total_magnetization_mub_per_atom=0.000 sg="Immm, No. 71" total_energy_ev_per_atom=-27.23 pbc="T T T"
Sr 0.000 0.000 0.000
Sr 1.858 2.817 6.006
Y 0.000 2.817 2.558
Y 0.000 2.817 9.454
Y 1.858 0.000 3.448
Y 1.858 0.000 8.564
Cd 0.000 0.000 6.006
Cd 1.858 2.817 0.000

10
Lattice="6.558 0.000 0.000 0.000 6.558 0.000 0.000 0.000 4.273" Properties=species:S:1:pos:R:3 comment="Zr2Al2Au SCAN PBEsol geometry" total_magnetization_mub_per_atom=0.000 sg="P4/mbm, No. 127" total_energy_ev_per_atom=-29.97 pbc="T T T"
Zr 1.075 2.204 0.000
Zr 2.204 5.483 0.000
Zr 4.354 1.075 0.000
Zr 5.483 4.354 0.000
Al 0.902 4.181 2.136
Al 2.377 0.902 2.136
Al 4.181 5.655 2.136
Al 5.655 2.377 2.136
Au 0.000 0.000 2.136
Au 3.279 3.279 2.136

5
Lattice="5.490 0.000 0.000 0.000 5.490 0.000 0.000 0.000 5.502" Properties=species:S:1:pos:R:3 comment="KCoAs2Br SCAN PBEsol geometry" total_magnetization_mub_per_atom=0.985 sg="P4/mmm, No. 123" raw_formation_energy_ev_per_atom=1.48 total_energy_ev_per_atom=-15.62 pbc="T T T"
K 0.000 0.000 0.000
Co 2.745 2.745 2.751
As 0.000 2.745 0.000
As 2.745 0.000 0.000
Br 0.000 0.000 2.751

3
Lattice="4.883 0.000 0.000 -2.441 4.229 0.000 0.000 0.000 3.365" Properties=species:S:1:pos:R:3 comment="TbCd2 SCAN PBEsol geometry" total_magnetization_mub_per_atom=0.007 sg="P6/mmm, No. 191" total_energy_ev_per_atom=-36.28 pbc="T T T"
Tb 0.000 0.000 0.000
Cd 0.000 2.819 1.683
Cd 2.441 1.410 1.683

12
Lattice="3.131 0.000 0.000 -1.566 2.712 0.000 0.000 0.000 23.261" Properties=species:S:1:pos:R:3 comment="CoPbF2 SCAN PBEsol geometry" total_magnetization_mub_per_atom=0.538 sg="R-3m, No. 166" raw_formation_energy_ev_per_atom=-1.27 total_energy_ev_per_atom=-26.31 pbc="T T T"
Co 0.000 0.000 0.000
Co 0.000 1.808 15.507
Co 1.566 0.904 7.754
Pb 0.000 0.000 11.630
Pb 0.000 1.808 3.877
Pb 1.566 0.904 19.384
F 0.000 0.000 1.808
F 0.000 0.000 21.453
F 0.000 1.808 13.699
F 0.000 1.808 17.315
F 1.566 0.904 5.946
F 1.566 0.904 9.561

4
Lattice="2.927 0.000 0.000 0.000 2.988 0.000 0.000 0.000 7.457" Properties=species:S:1:pos:R:3 comment="SiTeIr2 SCAN PBEsol geometry" total_magnetization_mub_per_atom=0.000 sg="Pmmm, No. 47" raw_formation_energy_ev_per_atom=-0.29 total_energy_ev_per_atom=-47.66 pbc="T T T"
Si 0.000 0.000 0.000
Te 1.463 0.000 3.729
Ir 1.463 1.494 1.372
Ir 1.463 1.494 6.085

6
Lattice="3.981 0.000 0.000 -1.990 3.448 0.000 0.000 0.000 4.936" Properties=species:S:1:pos:R:3 comment="GaNi2 SCAN PBEsol geometry" total_magnetization_mub_per_atom=0.000 sg="P-3m1, No. 164" total_energy_ev_per_atom=-16.53 pbc="T T T"
Ga 0.000 2.298 1.026
Ga 1.990 1.149 3.911
Ni 0.000 0.000 0.000
Ni 0.000 0.000 2.468
Ni 0.000 2.298 3.468
Ni 1.990 1.149 1.468

28
Lattice="5.270 -8.654 0.000 5.270 8.654 0.000 -4.245 0.000 9.067" Properties=species:S:1:pos:R:3 comment="K2Nb3Br9 SCAN PBEsol geometry" total_magnetization_mub_per_atom=0.000 sg="C2/m, No. 12" raw_formation_energy_ev_per_atom=-1.28 total_energy_ev_per_atom=-22.08 pbc="T T T"
K 1.292 5.868 6.085
K 5.002 5.868 2.982
K 1.292 -5.868 6.085
K 5.002 -5.868 2.982
Nb 0.233 1.474 7.823
Nb 3.505 0.000 1.128
Nb 0.233 -1.474 7.823
Nb 6.061 1.474 1.244
Nb 2.789 0.000 7.939
Nb 6.061 -1.474 1.244
Br 1.852 5.197 2.936
Br -2.094 1.821 8.929
Br -0.938 0.000 6.029
Br 1.166 0.000 2.619
Br 5.270 3.616 0.000
Br -2.094 -1.821 8.929
Br 2.198 1.798 6.174
Br 4.442 5.197 6.132
Br 4.096 1.798 2.893
Br 2.198 -1.798 6.174
Br 1.852 -5.197 2.936
Br 4.096 -1.798 2.893
Br 8.388 1.821 0.138
Br 5.270 -3.616 0.000
Br 5.128 0.000 6.449
Br 7.232 0.000 3.038
Br 8.388 -1.821 0.138
Br 4.442 -5.197 6.132

5
Lattice="4.578 0.000 0.000 0.000 4.578 0.000 0.000 0.000 4.578" Properties=species:S:1:pos:R:3 comment="TiNb3Ni SCAN PBEsol geometry" total_magnetization_mub_per_atom=0.006 sg="Pm-3m, No. 221" total_energy_ev_per_atom=-25.54 pbc="T T T"
Ti 0.000 0.000 0.000
Nb 0.000 2.289 2.289
Nb 2.289 0.000 2.289
Nb 2.289 2.289 0.000
Ni 2.289 2.289 2.289

5
Lattice="4.779 0.000 0.000 0.000 4.779 0.000 0.000 0.000 4.167" Properties=species:S:1:pos:R:3 comment="RbRhOF2 SCAN PBEsol geometry" total_magnetization_mub_per_atom=0.584 sg="P4/mmm, No. 123" raw_formation_energy_ev_per_atom=0.19 total_energy_ev_per_atom=-13.38 pbc="T T T"
Rb 0.000 0.000 0.000
Rh 2.389 2.389 2.084
O 0.000 0.000 2.084
F 0.000 2.389 0.000
F 2.389 0.000 0.000

4
Lattice="3.262 0.000 0.000 0.000 3.262 0.000 0.000 0.000 7.182" Properties=species:S:1:pos:R:3 comment="ZrTcSb2 SCAN PBEsol geometry" total_magnetization_mub_per_atom=0.000 sg="P4/mmm, No. 123" raw_formation_energy_ev_per_atom=-0.19 total_energy_ev_per_atom=-35.26 pbc="T T T"
Zr 0.000 0.000 0.000
Tc 0.000 0.000 3.591
Sb 1.631 1.631 1.990
Sb 1.631 1.631 5.191

12
Lattice="2.767 0.000 0.000 -1.384 2.396 0.000 0.000 0.000 28.522" Properties=species:S:1:pos:R:3 comment="ReAg3 SCAN PBEsol geometry" total_magnetization_mub_per_atom=0.000 sg="R-3m, No. 166" total_energy_ev_per_atom=-40.92 pbc="T T T"
Re 0.000 0.000 0.000
Re 0.000 1.598 19.014
Re 1.384 0.799 9.507
Ag 0.000 0.000 7.152
Ag 0.000 0.000 14.261
Ag 0.000 0.000 21.370
Ag 0.000 1.598 4.754
Ag 0.000 1.598 11.863
Ag 0.000 1.598 26.166
Ag 1.384 0.799 2.355
Ag 1.384 0.799 16.659
Ag 1.384 0.799 23.768

16
Lattice="5.812 0.000 0.000 0.000 5.812 0.000 0.000 0.000 5.812" Properties=species:S:1:pos:R:3 comment="Ni3Br SCAN PBEsol geometry" total_magnetization_mub_per_atom=0.442 sg="Fm-3m, No. 225" raw_formation_energy_ev_per_atom=0.77 total_energy_ev_per_atom=-16.23 pbc="T T T"
Ni 0.000 0.000 0.000
Ni 0.000 2.906 2.906
Ni 1.453 1.453 1.453
Ni 1.453 1.453 4.359
Ni 1.453 4.359 1.453
Ni 1.453 4.359 4.359
Ni 2.906 0.000 2.906
Ni 2.906 2.906 0.000
Ni 4.359 1.453 1.453
Ni 4.359 1.453 4.359
Ni 4.359 4.359 1.453
Ni 4.359 4.359 4.359
Br 0.000 0.000 2.906
Br 0.000 2.906 0.000
Br 2.906 0.000 0.000
Br 2.906 2.906 2.906

16
Lattice="7.082 0.000 0.000 0.000 7.082 0.000 0.000 0.000 7.082" Properties=species:S:1:pos:R:3 comment="DyMgCd2 SCAN PBEsol geometry" total_magnetization_mub_per_atom=0.000 sg="Fm-3m, No. 225" total_energy_ev_per_atom=-28.82 pbc="T T T"
Dy 0.000 0.000 0.000
Dy 0.000 3.541 3.541
Dy 3.541 0.000 3.541
Dy 3.541 3.541 0.000
Mg 0.000 0.000 3.541
Mg 0.000 3.541 0.000
Mg 3.541 0.000 0.000
Mg 3.541 3.541 3.541
Cd 1.771 1.771 1.771
Cd 1.771 1.771 5.312
Cd 1.771 5.312 1.771
Cd 1.771 5.312 5.312
Cd 5.312 1.771 1.771
Cd 5.312 1.771 5.312
Cd 5.312 5.312 1.771
Cd 5.312 5.312 5.312

4
Lattice="2.792 0.000 0.000 0.000 4.428 0.000 0.000 0.000 4.799" Properties=species:S:1:pos:R:3 comment="ScIrOs2 SCAN PBEsol geometry" total_magnetization_mub_per_atom=0.000 sg="Pmm2, No. 25" total_energy_ev_per_atom=-57.50 pbc="T T T"
Sc 0.000 0.000 0.000
Ir 1.396 2.214 4.167
Os 0.000 2.214 1.781
Os 1.396 0.000 2.435

16
Lattice="3.560 0.000 0.000 0.000 11.242 0.000 0.000 0.000 4.935" Properties=species:S:1:pos:R:3 comment="CaV2O5 SCAN PBEsol geometry" total_magnetization_mub_per_atom=0.250 sg="Pmmn, No. 59" raw_formation_energy_ev_per_atom=-2.92 total_energy_ev_per_atom=-12.40 pbc="T T T"
Ca 0.890 2.810 0.719
Ca 2.670 8.431 4.216
V 0.890 6.714 1.922
V 0.890 10.149 1.922
V 2.670 1.093 3.013
V 2.670 4.528 3.013
O 0.890 0.829 2.322
O 0.890 4.792 2.322
O 0.890 7.013 0.290
O 0.890 8.431 2.737
O 0.890 9.850 0.290
O 2.670 1.392 4.645
O 2.670 2.810 2.198
O 2.670 4.229 4.645
O 2.670 6.450 2.613
O 2.670 10.413 2.613

16
Lattice="5.468 0.000 0.000 0.000 5.468 0.000 0.000 0.000 5.468" Properties=species:S:1:pos:R:3 comment="AgRhN2 SCAN PBEsol geometry" total_magnetization_mub_per_atom=0.000 sg="Fm-3m, No. 225" raw_formation_energy_ev_per_atom=1.55 total_energy_ev_per_atom=-19.38 pbc="T T T"
Ag 0.000 0.000 0.000
Ag 0.000 2.734 2.734
Ag 2.734 0.000 2.734
Ag 2.734 2.734 0.000
Rh 0.000 0.000 2.734
Rh 0.000 2.734 0.000
Rh 2.734 0.000 0.000
Rh 2.734 2.734 2.734
N 1.367 1.367 1.367
N 1.367 1.367 4.101
N 1.367 4.101 1.367
N 1.367 4.101 4.101
N 4.101 1.367 1.367
N 4.101 1.367 4.101
N 4.101 4.101 1.367
N 4.101 4.101 4.101